Entry from the Alexandria database: crystalline Y2GaSiC at its relaxed geometry (PBE).

a b c (Å): 4.924 4.924 3.975
angles (deg): 90.00 90.00 90.00
Atoms (fractional coordinates):
Y1 0.000 0.500 0.000
Y2 0.500 0.000 0.000
Ga1 0.000 0.000 0.500
Si1 0.500 0.500 0.500
C1 0.000 0.000 0.000

- SG: P4/mmm, No. 123
- Fermi-level density of states: 3.555 states/eV per cell
- Formation energy from raw total energies: -0.286 eV/atom